Entry 1:
Below is a relaxed KYS2O6 crystal, with properties calculated at the PBE level.

The structure in extended XYZ format:
```
10
Lattice="2.6688 1.5408 6.7783 -2.6688 1.5408 6.7783 0.0000 -3.0816 6.7783" Properties=species:S:1:pos:R:3 pbc="T T T"
K 0.0000 0.0000 0.0000
Y 0.0000 0.0000 10.1675
S 0.0000 0.0000 5.3427
S 0.0000 0.0000 14.9923
O -1.7864 -0.4268 8.8123
O -0.5236 -1.7605 11.5226
O -1.2629 1.3337 11.5226
O 1.2629 -1.3337 8.8124
O 0.5236 1.7605 8.8124
O 1.7864 0.4268 11.5226
```

Results
Spin magnetization (μB/f.u.): 0.0
Symmetry: No. 148
Formation energy without anion corrections (eV/atom): -2.012
D(E_F) (states/eV per atom): 0.000
Total energy (eV/f.u.): -65.7

Entry 2:
Below is a relaxed KYS2O8 crystal, with properties calculated at the PBE level.

The structure in extended XYZ format:
```
12
Lattice="5.3261 0.0000 0.0000 -2.6631 4.6125 0.0000 0.0000 0.0000 8.1829" Properties=species:S:1:pos:R:3 pbc="T T T"
K 0.0000 0.0000 0.0000
Y 0.0000 0.0000 4.0915
S 0.0000 3.0750 6.0269
S 2.6631 1.5375 2.1560
O -0.3612 1.7220 5.4933
O -0.9912 4.0644 5.4933
O 0.0000 3.0750 7.4823
O 1.3107 1.1738 2.6896
O 1.3524 3.4387 5.4933
O 2.6631 1.5375 0.7006
O 3.6542 0.5482 2.6896
O 3.0243 2.8905 2.6896
```

Results
Spin magnetization (μB/f.u.): 0.0
Symmetry: No. 147
Formation energy without anion corrections (eV/atom): -2.082
D(E_F) (states/eV per atom): 0.000
Total energy (eV/f.u.): -80.5

Entry 3:
Below is a relaxed K2YSO6 crystal, with properties calculated at the PBE level.

The structure in extended XYZ format:
```
10
Lattice="6.1626 0.0000 0.0000 -3.0813 5.3370 0.0000 0.0000 0.0000 5.6126" Properties=species:S:1:pos:R:3 pbc="T T T"
K 0.0000 3.5580 2.2445
K 3.0813 1.7790 3.3680
Y 0.0000 0.0000 0.0000
S 0.0000 0.0000 2.8063
O 0.0000 1.3754 3.7983
O -1.8902 4.6493 3.7983
O 1.1912 0.6877 1.8142
O 1.8902 4.6493 3.7983
O 4.9715 0.6877 1.8142
O 3.0813 3.9616 1.8142
```

Results
Spin magnetization (μB/f.u.): 1.0
Symmetry: No. 164
Formation energy without anion corrections (eV/atom): -1.622
D(E_F) (states/eV per atom): 0.122
Total energy (eV/f.u.): -58.8

Entry 4:
Below is a relaxed K2ZnSO6 crystal, with properties calculated at the PBE level.

The structure in extended XYZ format:
```
10
Lattice="5.9653 0.0000 0.0000 -2.9827 5.1661 0.0000 0.0000 0.0000 5.1605" Properties=species:S:1:pos:R:3 pbc="T T T"
K 0.0000 3.4441 0.9065
K 2.9827 1.7220 4.2540
Zn 0.0000 0.0000 2.5802
S 0.0000 0.0000 0.0000
O 0.0000 1.3477 4.1760
O -1.8155 4.4923 4.1760
O 1.1671 0.6738 0.9845
O 1.8155 4.4923 4.1760
O 4.7982 0.6738 0.9845
O 2.9827 3.8184 0.9845
```

Results
Spin magnetization (μB/f.u.): 2.0
Symmetry: No. 164
Formation energy without anion corrections (eV/atom): -1.079
D(E_F) (states/eV per atom): 0.336
Total energy (eV/f.u.): -48.1

Entry 5:
Below is a relaxed K2ZnS2O8 crystal, with properties calculated at the PBE level.

The structure in extended XYZ format:
```
52
Lattice="5.4516 0.0000 0.0000 0.0000 8.9656 0.0000 -4.8817 0.0000 16.2979" Properties=species:S:1:pos:R:3 pbc="T T T"
K -1.3151 1.2781 4.4254
K -3.7560 3.2047 12.5743
K -3.6026 6.0525 15.9487
K -1.1617 7.3960 7.7998
K 1.7316 1.5697 8.4980
K 4.1724 2.9132 0.3491
K 4.3258 5.7609 3.7235
K 1.8850 7.6875 11.8725
Zn 1.4446 0.2764 2.1199
Zn -0.9962 4.2064 10.2688
Zn 1.5661 4.7593 6.0290
Zn -0.8748 8.6892 14.1780
S -3.5390 1.0016 15.1240
S -1.0982 3.4812 6.9751
S -1.0520 1.0425 11.0321
S 1.3889 3.4403 2.8831
S -0.8190 5.5253 13.4147
S 1.6218 7.9231 5.2658
S 1.6680 5.4845 9.3228
S 4.1089 7.9640 1.1739
O -2.5500 5.5388 10.2006
O -0.1092 7.9096 2.0517
O 0.8997 1.0706 0.2418
O -1.5412 3.4122 8.3907
O -1.6549 0.3153 9.8929
O 0.7859 4.1675 1.7440
O -0.3840 4.7860 6.7000
O -2.8248 8.6624 14.8490
O 0.8277 2.0284 2.9222
O -1.6132 2.4545 11.0711
O -2.2932 5.5738 13.5046
O 0.1477 7.8746 5.3557
O -2.6639 2.1348 14.7957
O -0.2230 2.3480 6.6467
O -1.5032 0.3966 12.3116
O 0.9376 4.0862 4.1627
O -0.3678 4.8794 12.1351
O 2.0731 8.5691 3.9862
O 0.7929 6.6176 9.6511
O 3.2337 6.8308 1.5022
O 0.4222 1.0910 10.9422
O 2.8630 3.3918 2.7933
O 2.1831 6.5112 5.2268
O -0.2578 6.9373 13.3757
O 3.3947 0.3032 1.4489
O 0.9538 4.1796 9.5978
O -0.2161 4.7981 14.5539
O 2.2248 8.6503 6.4049
O 2.1110 5.5534 7.9072
O -0.3298 7.8951 16.0561
O 0.6790 1.0560 14.2462
O 3.1199 3.4268 6.0972
```

Results
Spin magnetization (μB/f.u.): 0.1
Symmetry: No. 14
Formation energy without anion corrections (eV/atom): -1.687
D(E_F) (states/eV per atom): 0.000
Total energy (eV/f.u.): -73.3

Entry 6:
Below is a relaxed KZnS2O8 crystal, with properties calculated at the PBE level.

The structure in extended XYZ format:
```
12
Lattice="5.0154 0.0000 0.0000 -2.5077 4.3434 0.0000 0.0000 0.0000 8.0180" Properties=species:S:1:pos:R:3 pbc="T T T"
K 0.0000 0.0000 0.0000
Zn 0.0000 0.0000 4.0090
S 0.0000 2.8956 5.7578
S 2.5077 1.4478 2.2602
O -0.4991 1.5714 5.2953
O -0.8973 3.9899 5.2953
O 0.0000 2.8956 7.2412
O 1.1114 1.2179 2.7227
O 1.3963 3.1255 5.2953
O 2.5077 1.4478 0.7768
O 3.4049 0.3535 2.7227
O 3.0068 2.7720 2.7227
```

Results
Spin magnetization (μB/f.u.): 1.1
Symmetry: No. 147
Formation energy without anion corrections (eV/atom): -1.411
D(E_F) (states/eV per atom): 0.888
Total energy (eV/f.u.): -67.2

Entry 7:
Below is a relaxed KZnSO4 crystal, with properties calculated at the PBE level.

The structure in extended XYZ format:
```
14
Lattice="3.2790 -4.7687 0.0000 3.2790 4.7687 0.0000 0.0000 0.0000 7.3453" Properties=species:S:1:pos:R:3 pbc="T T T"
K 0.0000 0.0000 0.0000
K 0.0000 0.0000 3.6726
Zn 3.2790 1.5946 5.5090
Zn 3.2790 -1.5946 1.8363
S 3.2790 1.1964 1.8363
S 3.2790 -1.1964 5.5090
O 3.2790 2.0402 0.6151
O 3.2790 2.0402 3.0575
O 2.0814 0.2561 1.8363
O 2.0814 -0.2561 5.5090
O 4.4767 0.2561 1.8363
O 4.4767 -0.2561 5.5090
O 3.2790 -2.0402 4.2878
O 3.2790 -2.0402 6.7302
```

Results
Spin magnetization (μB/f.u.): 0.7
Symmetry: No. 63
Formation energy without anion corrections (eV/atom): -1.308
D(E_F) (states/eV per atom): 0.247
Total energy (eV/f.u.): -35.5

Entry 8:
Below is a relaxed KZrS2O8 crystal, with properties calculated at the PBE level.

The structure in extended XYZ format:
```
12
Lattice="5.1471 0.0000 0.0000 -2.5735 4.4575 0.0000 0.0000 0.0000 8.3238" Properties=species:S:1:pos:R:3 pbc="T T T"
K 0.0000 0.0000 0.0000
Zr 0.0000 0.0000 4.1619
S 0.0000 2.9717 6.0588
S 2.5736 1.4858 2.2650
O -0.4619 1.6425 5.5337
O -0.9201 4.0363 5.5337
O 0.0000 2.9717 7.5154
O 1.1915 1.2213 2.7901
O 1.3820 3.2362 5.5337
O 2.5736 1.4858 0.8084
O 3.4937 0.4212 2.7901
O 3.0355 2.8150 2.7901
```

Results
Spin magnetization (μB/f.u.): 1.0
Symmetry: No. 147
Formation energy without anion corrections (eV/atom): -1.827
D(E_F) (states/eV per atom): 0.436
Total energy (eV/f.u.): -79.5

Entry 9:
Below is a relaxed K2SbO3 crystal, with properties calculated at the PBE level.

The structure in extended XYZ format:
```
12
Lattice="5.7523 -3.0259 0.0000 5.7523 3.0259 0.0000 -1.9421 0.0000 6.4073" Properties=species:S:1:pos:R:3 pbc="T T T"
K 1.7460 0.0098 0.5358
K 0.7750 -0.0098 3.7394
K 8.7875 0.0098 2.6679
K 7.8164 -0.0098 5.8715
Sb 5.2667 0.2043 1.6018
Sb 4.2957 -0.2043 4.8055
O 5.2667 2.1220 1.6018
O 3.4816 0.0068 2.8112
O 2.5106 -0.0068 6.0149
O 7.0519 0.0068 0.3924
O 6.0808 -0.0068 3.5961
O 4.2957 -2.1220 4.8055
```

Results
Spin magnetization (μB/f.u.): 0.0
Symmetry: No. 15
Formation energy without anion corrections (eV/atom): -1.467
D(E_F) (states/eV per atom): 0.233
Total energy (eV/f.u.): -30.0

Entry 10:
Below is a relaxed K2SbO4 crystal, with properties calculated at the PBE level.

The structure in extended XYZ format:
```
7
Lattice="5.9825 -1.5725 0.0000 5.9825 1.5725 0.0000 -3.3140 0.0000 6.0737" Properties=species:S:1:pos:R:3 pbc="T T T"
K 1.3043 0.0000 1.0698
K 7.3468 0.0000 5.0039
Sb 4.3255 0.0000 3.0369
O -0.3575 0.0000 3.4302
O 4.9108 0.0000 1.1569
O 3.7402 0.0000 4.9168
O 9.0086 0.0000 2.6435
```

Results
Spin magnetization (μB/f.u.): 1.0
Symmetry: No. 12
Formation energy without anion corrections (eV/atom): -1.356
D(E_F) (states/eV per atom): 0.663
Total energy (eV/f.u.): -35.6

Entry 11:
Below is a relaxed KSb2O crystal, with properties calculated at the PBE level.

The structure in extended XYZ format:
```
8
Lattice="-3.0919 3.0919 6.6944 3.0919 -3.0919 6.6944 3.0919 3.0919 -6.6944" Properties=species:S:1:pos:R:3 pbc="T T T"
K 3.0919 1.5460 1.6736
K 0.0000 1.5460 5.0208
Sb 0.0000 0.0000 0.0000
Sb 1.5460 1.5460 -3.3472
Sb 1.5460 -1.5460 3.3472
Sb 0.0000 3.0919 0.0000
O 3.0919 -1.5460 5.0208
O 0.0000 4.6379 1.6736
```

Results
Spin magnetization (μB/f.u.): 0.0
Symmetry: No. 141
Formation energy without anion corrections (eV/atom): -0.390
D(E_F) (states/eV per atom): 0.612
Total energy (eV/f.u.): -15.9

Entry 12:
Below is a relaxed K4Sb2O5 crystal, with properties calculated at the PBE level.

The structure in extended XYZ format:
```
44
Lattice="18.5473 0.0000 0.0000 0.0000 6.4616 0.0000 0.0000 0.0000 8.0200" Properties=species:S:1:pos:R:3 pbc="T T T"
K 0.2238 1.6154 1.0069
K 0.2518 1.6154 5.0081
K 2.8089 4.8462 1.0068
K 2.8224 4.8462 5.0084
K 6.4513 1.6154 0.9984
K 6.4648 1.6154 5.0168
K 9.0219 4.8462 0.9981
K 9.0499 4.8462 5.0170
K 9.4974 1.6154 3.0031
K 9.5254 1.6154 7.0219
K 12.0825 4.8462 3.0032
K 12.0960 4.8462 7.0217
K 15.7249 1.6154 3.0117
K 15.7384 1.6154 7.0132
K 18.2955 4.8462 3.0119
K 18.3235 4.8462 7.0131
Sb 3.0839 1.6154 3.0453
Sb 3.0834 1.6154 6.9797
Sb 6.1903 4.8462 2.9696
Sb 6.1898 4.8462 7.0553
Sb 12.3575 1.6154 0.9648
Sb 12.3570 1.6154 5.0504
Sb 15.4639 4.8462 1.0404
Sb 15.4634 4.8462 4.9748
O 1.8135 0.1438 3.0183
O 1.8129 0.1438 7.0067
O 1.8135 3.0870 3.0183
O 1.8129 3.0870 7.0067
O 3.6547 1.6154 5.0130
O 5.6189 4.8462 1.0029
O 7.4608 3.3746 2.9966
O 7.4602 3.3746 7.0284
O 7.4608 6.3178 2.9966
O 7.4602 6.3179 7.0284
O 11.0872 0.1438 0.9917
O 11.0865 0.1438 5.0234
O 11.0872 3.0870 0.9917
O 11.0865 3.0870 5.0234
O 12.9284 1.6154 7.0171
O 14.8926 4.8462 3.0071
O 16.7345 3.3746 1.0134
O 16.7338 3.3746 5.0017
O 16.7345 6.3178 1.0134
O 16.7338 6.3179 5.0017
```

Results
Spin magnetization (μB/f.u.): 0.0
Symmetry: No. 62
Formation energy without anion corrections (eV/atom): -1.550
D(E_F) (states/eV per atom): 0.000
Total energy (eV/f.u.): -54.5